Entry 1:
Compound: Os2RuBr
Source: Alexandria via LeMat-Bulk
Functional: SCAN
Structure: PBEsol geometry

Cell and atoms, written as POSCAR:
```
Os2RuBr
1.0
-0.200 -0.546 -2.746
-0.716 -2.571 -0.871
-8.657 1.235 -1.051
Br Os Ru
1 2 1
direct
0.247 0.247 0.258 Br
0.003 0.003 0.990 Os
0.750 0.750 0.749 Os
0.499 0.499 0.504 Ru
```

* uncorrected energy: -1.790 Ha/atom
* mass density: 15.778 g/cm³

Entry 2:
Compound: HfAg3Cl
Source: Alexandria via LeMat-Bulk
Functional: SCAN
Structure: PBEsol geometry

Cell and atoms, written as POSCAR:
```
HfAg3Cl
1.0
5.206 0.000 0.000
0.000 5.206 0.000
0.000 0.000 5.206
Hf Ag Cl
1 3 1
direct
0.000 0.000 0.000 Hf
0.000 0.500 0.000 Ag
0.000 0.000 0.500 Ag
0.500 0.000 0.000 Ag
0.500 0.500 0.500 Cl
```

* uncorrected energy: -1.168 Ha/atom
* mass density: 6.325 g/cm³

Entry 3:
Compound: LuSiIr
Source: Alexandria via LeMat-Bulk
Functional: SCAN
Structure: PBEsol geometry

Cell and atoms, written as POSCAR:
```
LuSiIr
1.0
-3.194 -1.381 2.227
3.073 -5.817 0.800
3.171 2.516 6.107
Lu Si Ir
4 4 4
direct
0.250 0.495 0.812 Lu
0.750 0.005 0.312 Lu
0.250 0.995 0.688 Lu
0.750 0.505 0.188 Lu
0.750 0.294 0.614 Si
0.750 0.794 0.886 Si
0.250 0.706 0.386 Si
0.250 0.206 0.114 Si
0.750 0.159 0.935 Ir
0.750 0.659 0.565 Ir
0.250 0.341 0.435 Ir
0.250 0.841 0.065 Ir
```

* uncorrected energy: -1.718 Ha/atom
* mass density: 13.088 g/cm³

Entry 4:
Compound: HgRh
Source: Alexandria via LeMat-Bulk
Functional: SCAN
Structure: PBEsol geometry

Cell and atoms, written as POSCAR:
```
HgRh
1.0
-0.082 3.029 -3.035
-2.775 -3.266 -0.155
-3.204 2.595 2.676
Hg Rh
2 2
direct
0.667 0.333 0.750 Hg
0.333 0.667 0.250 Hg
0.000 0.000 0.000 Rh
0.000 0.000 0.500 Rh
```

* uncorrected energy: -1.855 Ha/atom
* mass density: 12.876 g/cm³

Q: What is the formula in the fourth record?
A: HgRh